Record 1
## Ta3Os2Pt2 (GGA-PBE)

Data for crystalline Ta3Os2Pt2 at its relaxed geometry.

Unit cell a=4.128 b=2.851 c=9.960 alpha=90.00 beta=78.04 gamma=90.00
Fractional positions:
Ta (0.155, 0.000, 0.690)
Ta (0.845, 0.000, 0.310)
Os (0.288, 0.500, 0.423)
Ta (0.000, 0.000, 0.000)
Pt (0.571, 0.500, 0.857)
Os (0.712, 0.500, 0.577)
Pt (0.429, 0.500, 0.143)

Results
- calculated total energy (eV per atom) = -10.309
- ΔH_f (0 K) (eV per atom) = -0.2951
- magnetization (μB/f.u.) = 0.0
- crystal system = orthorhombic
- V (Å³/cell) = 114.7

Record 2
## Ta2OsPt2 (GGA-PBE)

Data for crystalline Ta2OsPt2 at its relaxed geometry.

Unit cell a=7.203 b=7.203 c=3.251 alpha=90.00 beta=90.00 gamma=90.00
Fractional positions:
Pt (0.371, 0.871, 0.000)
Ta (0.176, 0.676, 0.500)
Ta (0.824, 0.324, 0.500)
Os (0.000, 0.000, 0.000)
Pt (0.871, 0.629, 0.000)
Ta (0.676, 0.824, 0.500)
Ta (0.324, 0.176, 0.500)
Pt (0.629, 0.129, 0.000)
Pt (0.129, 0.371, 0.000)
Os (0.500, 0.500, 0.000)

Results
- polymorph energy (0 for the lowest one) (eV/atom) = 0.1415
- calculated total energy (eV per atom) = -9.650
- ΔH_f (0 K) (eV per atom) = -0.2464
- magnetization (μB/f.u.) = 0.0
- crystal system = tetragonal
- V (Å³/cell) = 168.7

Record 3
## TaOsPt (GGA-PBE)

Data for crystalline TaOsPt at its relaxed geometry.

Unit cell a=2.822 b=4.879 c=7.506 alpha=97.51 beta=90.00 gamma=106.81
Fractional positions:
Os (0.867, 0.733, 0.068)
Os (0.133, 0.267, 0.932)
Pt (0.650, 0.300, 0.601)
Ta (0.396, 0.792, 0.765)
Ta (0.604, 0.208, 0.235)
Pt (0.350, 0.700, 0.399)

Results
- polymorph energy (0 for the lowest one) (eV/atom) = 0.1678
- calculated total energy (eV per atom) = -9.938
- ΔH_f (0 K) (eV per atom) = -0.2301
- magnetization (μB/f.u.) = 0.0
- crystal system = monoclinic
- V (Å³/cell) = 98.0

Record 4
## TaOsPt2 (GGA-PBE)

Data for crystalline TaOsPt2 at its relaxed geometry.

Unit cell a=4.087 b=2.772 c=6.183 alpha=63.42 beta=90.00 gamma=90.00
Fractional positions:
Os (0.500, 0.750, 0.750)
Ta (0.500, 0.250, 0.250)
Pt (0.000, 0.494, 0.505)
Pt (0.000, 0.006, 0.995)

Results
- polymorph energy (0 for the lowest one) (eV/atom) = 0.2053
- calculated total energy (eV per atom) = -9.081
- ΔH_f (0 K) (eV per atom) = -0.2901
- magnetization (μB/f.u.) = 0.0
- crystal system = orthorhombic
- V (Å³/cell) = 62.6

Record 5
## TaOsPt2 (GGA-PBE)

Data for crystalline TaOsPt2 at its relaxed geometry.

Unit cell a=4.490 b=4.490 c=4.490 alpha=60.00 beta=60.00 gamma=60.00
Fractional positions:
Ta (0.750, 0.750, 0.750)
Os (0.500, 0.500, 0.500)
Pt (0.250, 0.250, 0.250)
Pt (0.000, 0.000, 0.000)

Results
- polymorph energy (0 for the lowest one) (eV/atom) = 0.3777
- calculated total energy (eV per atom) = -8.909
- ΔH_f (0 K) (eV per atom) = -0.1177
- magnetization (μB/f.u.) = 0.0
- crystal system = cubic
- V (Å³/cell) = 64.0

Record 6
## TaOs4Pt (GGA-PBE)

Data for crystalline TaOs4Pt at its relaxed geometry.

Unit cell a=5.134 b=5.134 c=5.134 alpha=60.00 beta=60.00 gamma=60.00
Fractional positions:
Os (0.873, 0.376, 0.376)
Ta (0.000, 0.000, 0.000)
Pt (0.750, 0.750, 0.750)
Os (0.376, 0.376, 0.873)
Os (0.376, 0.873, 0.376)
Os (0.376, 0.376, 0.376)

Results
- calculated total energy (eV per atom) = -10.167
- ΔH_f (0 K) (eV per atom) = 0.3017
- magnetization (μB/f.u.) = 0.0
- crystal system = cubic
- V (Å³/cell) = 95.7

V of number 2 (Ta2OsPt2)?
168.7 Å³/cell